(1)
Density functional theory data (PBE) for an optimized crystal structure of Y2BiBrF.

Cell lengths 5.385, 4.743, 5.385 Å; angles 90.00, 90.00, 90.00 degrees
Positions (direct):
1 Y 0.000 0.000 0.500
2 Y 0.500 0.000 0.000
3 Bi 0.500 0.500 0.500
4 Br 0.000 0.000 0.000
5 F 0.000 0.500 0.000

Values from the calculation:
**Formation energy (no corrections)**: -0.91 eV per atom
**Space group**: P4/mmm (123)

***

(2)
Density functional theory data (PBE) for an optimized crystal structure of Tl6HgBi3.

Cell lengths 4.884, 11.072, 13.485 Å; angles 107.78, 90.00, 90.00 degrees
Positions (direct):
1 Tl 0.750 0.431 0.570
2 Tl 0.250 0.569 0.430
3 Tl 0.750 0.793 0.099
4 Tl 0.250 0.207 0.901
5 Tl 0.750 0.410 0.056
6 Tl 0.250 0.590 0.944
7 Tl 0.750 0.749 0.334
8 Tl 0.250 0.251 0.666
9 Tl 0.750 0.066 0.424
10 Tl 0.250 0.934 0.576
11 Tl 0.750 0.717 0.809
12 Tl 0.250 0.283 0.191
13 Hg 0.750 0.020 0.772
14 Hg 0.250 0.980 0.228
15 Bi 0.750 0.415 0.809
16 Bi 0.250 0.585 0.191
17 Bi 0.750 0.733 0.577
18 Bi 0.250 0.267 0.423
19 Bi 0.750 0.092 0.047
20 Bi 0.250 0.908 0.953

Values from the calculation:
**Calculated formation energy**: 0.033 eV/atom
**Space group**: P2_1/m (11)

***

(3)
Density functional theory data (PBE) for an optimized crystal structure of NaAsBr2.

Cell lengths 10.075, 10.075, 10.075 Å; angles 20.96, 20.96, 20.96 degrees
Positions (direct):
1 Na 0.000 0.000 0.000
2 As 0.500 0.500 0.500
3 Br 0.909 0.909 0.909
4 Br 0.091 0.091 0.091

Values from the calculation:
**Formation energy (no corrections)**: -0.02 eV per atom
**Space group**: R-3m (166)

***

(4)
Density functional theory data (PBE) for an optimized crystal structure of Tb2Nd2Zn3.

Cell lengths 7.833, 7.833, 7.833 Å; angles 109.47, 109.47, 109.47 degrees
Positions (direct):
1 Tb 0.000 0.000 0.860
2 Tb 0.500 0.860 0.500
3 Tb 0.140 0.640 0.640
4 Tb 0.360 0.500 0.000
5 Nd 0.500 0.348 0.500
6 Nd 0.000 0.000 0.348
7 Nd 0.652 0.152 0.152
8 Nd 0.848 0.500 0.000
9 Zn 0.750 0.637 0.387
10 Zn 0.250 0.863 0.113
11 Zn 0.613 0.750 0.863
12 Zn 0.887 0.250 0.637
13 Zn 0.363 0.113 0.750
14 Zn 0.137 0.387 0.250

Values from the calculation:
**Calculated formation energy**: -0.136 eV/atom
**Space group**: I2_13 (199)

***

(5)
Density functional theory data (PBE) for an optimized crystal structure of Fe2Pd2N.

Cell lengths 3.029, 3.029, 7.241 Å; angles 77.93, 77.93, 90.00 degrees
Positions (direct):
1 Fe 0.750 0.250 0.500
2 Fe 0.250 0.750 0.500
3 Pd 0.406 0.406 0.188
4 Pd 0.594 0.594 0.812
5 N 0.000 0.000 0.000

Values from the calculation:
**Formation energy (no corrections)**: 1.12 eV per atom
**Space group**: I4/mmm (139)

***

(6)
Density functional theory data (PBE) for an optimized crystal structure of PrSc5Hg4.

Cell lengths 3.529, 3.529, 18.801 Å; angles 90.00, 90.00, 90.00 degrees
Positions (direct):
1 Pr 0.000 0.000 0.000
2 Sc 0.500 0.500 0.128
3 Sc 0.500 0.500 0.314
4 Sc 0.500 0.500 0.500
5 Sc 0.500 0.500 0.686
6 Sc 0.500 0.500 0.872
7 Hg 0.000 0.000 0.218
8 Hg 0.000 0.000 0.406
9 Hg 0.000 0.000 0.594
10 Hg 0.000 0.000 0.782

Values from the calculation:
**Calculated formation energy**: -0.333 eV/atom
**Space group**: P4/mmm (123)

***

(7)
Density functional theory data (PBE) for an optimized crystal structure of Ac2La7Pm3.

Cell lengths 3.701, 6.653, 19.013 Å; angles 74.84, 90.00, 90.00 degrees
Positions (direct):
1 Ac 0.500 0.592 0.330
2 Ac 0.500 0.408 0.670
3 La 0.500 0.223 0.509
4 La 0.500 0.777 0.491
5 La 0.000 0.551 0.162
6 La 0.000 0.000 0.000
7 La 0.000 0.449 0.838
8 La 0.500 0.948 0.834
9 La 0.500 0.052 0.166
10 Pm 0.500 0.500 0.000
11 Pm 0.000 0.102 0.334
12 Pm 0.000 0.898 0.666

Values from the calculation:
**Calculated formation energy**: 0.070 eV/atom
**Space group**: P2/m (10)

***

(8)
Density functional theory data (PBE) for an optimized crystal structure of CeMnGe2Mo.

Cell lengths 4.038, 4.038, 6.354 Å; angles 108.53, 108.53, 90.00 degrees
Positions (direct):
1 Ce 0.000 0.000 0.000
2 Mn 0.250 0.750 0.500
3 Ge 0.614 0.614 0.228
4 Ge 0.386 0.386 0.772
5 Mo 0.750 0.250 0.500

Values from the calculation:
**Calculated formation energy**: -0.366 eV/atom
**Space group**: I-4m2 (119)

***

(9)
Density functional theory data (PBE) for an optimized crystal structure of LiFeSe2.

Cell lengths 4.021, 3.623, 5.513 Å; angles 89.73, 90.00, 90.00 degrees
Positions (direct):
1 Fe 0.000 0.501 0.518
2 Li 0.500 0.497 0.863
3 Se 0.000 0.999 0.775
4 Se 0.500 0.503 0.344

Values from the calculation:
**Formation energy (no corrections)**: -0.41 eV per atom
**Space group**: Pm (6)

***

(10)
Density functional theory data (PBE) for an optimized crystal structure of Te2IrBr.

Cell lengths 3.289, 7.433, 4.489 Å; angles 90.00, 90.00, 90.00 degrees
Positions (direct):
1 Ir 0.000 0.500 0.500
2 Te 0.000 0.000 0.000
3 Te 0.500 0.500 0.000
4 Br 0.500 0.000 0.500

Values from the calculation:
**Formation energy (no corrections)**: 0.77 eV per atom
**Space group**: Pmmm (47)

***

(11)
Density functional theory data (PBE) for an optimized crystal structure of PmNiPb.

Cell lengths 4.688, 4.688, 4.688 Å; angles 60.00, 60.00, 60.00 degrees
Positions (direct):
1 Pb 0.500 0.500 0.500
2 Ni 0.250 0.250 0.250
3 Pm 0.000 0.000 0.000

Values from the calculation:
**Calculated formation energy**: -0.373 eV/atom
**Space group**: F-43m (216)

***

(12)
Density functional theory data (PBE) for an optimized crystal structure of Rb3Co2Br8.

Cell lengths 7.601, 7.601, 10.623 Å; angles 69.05, 69.04, 60.00 degrees
Positions (direct):
1 Rb 0.000 0.000 0.000
2 Rb 0.209 0.209 0.374
3 Rb 0.791 0.791 0.626
4 Co 0.409 0.409 0.774
5 Co 0.591 0.591 0.226
6 Br 0.328 0.328 0.016
7 Br 0.672 0.672 0.984
8 Br 0.267 0.774 0.692
9 Br 0.774 0.267 0.692
10 Br 0.267 0.267 0.691
11 Br 0.226 0.733 0.308
12 Br 0.733 0.226 0.308
13 Br 0.733 0.733 0.309

Values from the calculation:
**Formation energy (no corrections)**: -0.99 eV per atom
**Space group**: R-3m (166)

***

(13)
Density functional theory data (PBE) for an optimized crystal structure of Dy2ErScBi4.

Cell lengths 4.423, 7.656, 7.653 Å; angles 109.47, 90.00, 90.00 degrees
Positions (direct):
1 Dy 0.500 0.000 0.500
2 Dy 0.000 0.500 0.500
3 Er 0.000 0.000 0.000
4 Sc 0.500 0.500 0.000
5 Bi 0.500 0.253 0.244
6 Bi 0.500 0.747 0.756
7 Bi 0.000 0.259 0.760
8 Bi 0.000 0.741 0.240

Values from the calculation:
**Calculated formation energy**: -0.790 eV/atom
**Space group**: P2/m (10)

***

(14)
Density functional theory data (PBE) for an optimized crystal structure of Tm4SnSe2S.

Cell lengths 4.068, 7.072, 7.054 Å; angles 70.54, 90.00, 90.00 degrees
Positions (direct):
1 Tm 0.000 0.739 0.765
2 Tm 0.000 0.261 0.235
3 Tm 0.500 0.752 0.238
4 Tm 0.500 0.248 0.762
5 Sn 0.000 0.500 0.500
6 Se 0.000 0.000 0.000
7 Se 0.500 0.000 0.500
8 S 0.500 0.500 0.000

Values from the calculation:
**Formation energy (no corrections)**: -1.46 eV per atom
**Space group**: P2/m (10)

***

(15)
Density functional theory data (PBE) for an optimized crystal structure of TbZrCdTc.

Cell lengths 4.936, 4.936, 4.936 Å; angles 60.00, 60.00, 60.00 degrees
Positions (direct):
1 Tb 0.250 0.250 0.250
2 Tc 0.500 0.500 0.500
3 Zr 0.750 0.750 0.750
4 Cd 0.000 0.000 0.000

Values from the calculation:
**Calculated formation energy**: -0.082 eV/atom
**Space group**: F-43m (216)

***

(16)
Density functional theory data (PBE) for an optimized crystal structure of NdSmAl3.

Cell lengths 4.582, 3.739, 14.163 Å; angles 97.58, 90.00, 90.00 degrees
Positions (direct):
1 Nd 0.250 0.072 0.143
2 Nd 0.750 0.928 0.857
3 Sm 0.250 0.790 0.580
4 Sm 0.750 0.210 0.420
5 Al 0.250 0.381 0.763
6 Al 0.750 0.619 0.237
7 Al 0.250 0.476 0.952
8 Al 0.750 0.524 0.048
9 Al 0.750 0.330 0.660
10 Al 0.250 0.670 0.340

Values from the calculation:
**Calculated formation energy**: -0.433 eV/atom
**Space group**: Cmcm (63)

***

(17)
Density functional theory data (PBE) for an optimized crystal structure of AsC2Br2.

Cell lengths 7.302, 7.302, 5.773 Å; angles 50.77, 50.77, 90.00 degrees
Positions (direct):
1 As 0.000 0.000 0.000
2 C 0.375 0.375 0.250
3 C 0.625 0.625 0.750
4 Br 0.750 0.250 0.500
5 Br 0.250 0.750 0.500

Values from the calculation:
**Formation energy (no corrections)**: 1.34 eV per atom
**Space group**: I4/mmm (139)

***

(18)
Density functional theory data (PBE) for an optimized crystal structure of Tb2Y12Tm5.

Cell lengths 6.082, 9.603, 11.685 Å; angles 116.01, 96.26, 93.21 degrees
Positions (direct):
1 Tb 0.728 0.897 0.974
2 Tb 0.272 0.103 0.026
3 Y 0.992 0.157 0.288
4 Y 0.188 0.688 0.924
5 Y 0.648 0.481 0.870
6 Y 0.054 0.576 0.395
7 Y 0.563 0.768 0.444
8 Y 0.551 0.054 0.752
9 Y 0.449 0.946 0.248
10 Y 0.946 0.424 0.605
11 Y 0.437 0.232 0.556
12 Y 0.812 0.312 0.076
13 Y 0.352 0.519 0.130
14 Y 0.008 0.843 0.712
15 Tm 0.474 0.633 0.659
16 Tm 0.894 0.730 0.183
17 Tm 0.000 0.000 0.500
18 Tm 0.106 0.270 0.817
19 Tm 0.526 0.367 0.341

Values from the calculation:
**Calculated formation energy**: 0.062 eV/atom
**Space group**: P-1 (2)

***

(19)
Density functional theory data (PBE) for an optimized crystal structure of Eu3As4.

Cell lengths 11.372, 9.166, 7.882 Å; angles 83.32, 53.18, 43.50 degrees
Positions (direct):
1 Eu 0.245 0.255 0.255
2 Eu 0.995 0.005 0.005
3 Eu 0.617 0.551 0.890
4 Eu 0.942 0.890 0.551
5 Eu 0.360 0.308 0.633
6 Eu 0.699 0.633 0.308
7 As 0.030 0.135 0.303
8 As 0.532 0.303 0.135
9 As 0.947 0.718 0.220
10 As 0.115 0.220 0.718
11 As 0.836 0.673 0.844
12 As 0.647 0.844 0.673
13 As 0.406 0.603 0.414
14 As 0.577 0.414 0.603

Values from the calculation:
**Calculated formation energy**: -1.016 eV/atom
**Space group**: Fdd2 (43)

***

(20)
Density functional theory data (PBE) for an optimized crystal structure of Sr2In6AgPd.

Cell lengths 7.523, 7.523, 7.523 Å; angles 60.00, 60.00, 90.00 degrees
Positions (direct):
1 Sr 0.250 0.750 0.500
2 Sr 0.750 0.250 0.500
3 In 0.247 0.753 0.000
4 In 0.753 0.753 0.000
5 In 0.247 0.247 0.506
6 In 0.753 0.247 0.000
7 In 0.247 0.247 0.000
8 In 0.753 0.753 0.494
9 Ag 0.500 0.500 0.000
10 Pd 0.000 0.000 0.000

Values from the calculation:
**Calculated formation energy**: -0.152 eV/atom
**Space group**: Fm-3m (225)

***

(21)
Density functional theory data (PBE) for an optimized crystal structure of Rb6NaHg2.

Cell lengths 11.247, 11.247, 11.247 Å; angles 104.27, 112.55, 111.71 degrees
Positions (direct):
1 Rb 0.525 0.712 0.813
2 Rb 0.475 0.288 0.187
3 Rb 0.101 0.288 0.813
4 Rb 0.899 0.712 0.187
5 Rb 0.795 0.761 0.556
6 Rb 0.205 0.239 0.444
7 Rb 0.205 0.761 0.967
8 Rb 0.795 0.239 0.033
9 Rb 0.696 0.372 0.676
10 Rb 0.304 0.628 0.324
11 Rb 0.304 0.980 0.676
12 Rb 0.696 0.020 0.324
13 Na 0.000 0.500 0.500
14 Na 0.000 0.000 0.000
15 Hg 0.500 0.388 0.888
16 Hg 0.500 0.612 0.112
17 Hg 0.630 0.000 0.630
18 Hg 0.370 0.000 0.370

Values from the calculation:
**Calculated formation energy**: -0.102 eV/atom
**Space group**: Immm (71)

***

(22)
Density functional theory data (PBE) for an optimized crystal structure of ZrSnPt2.

Cell lengths 3.535, 3.535, 6.159 Å; angles 90.00, 90.00, 90.00 degrees
Positions (direct):
1 Zr 0.500 0.500 0.000
2 Sn 0.500 0.500 0.500
3 Pt 0.000 0.000 0.774
4 Pt 0.000 0.000 0.226

Values from the calculation:
**Calculated formation energy**: -0.774 eV/atom
**Space group**: P4/mmm (123)

***

(23)
Density functional theory data (PBE) for an optimized crystal structure of TbCe5Te8.

Cell lengths 8.225, 8.225, 8.225 Å; angles 109.66, 109.10, 109.66 degrees
Positions (direct):
1 Tb 0.250 0.500 0.750
2 Ce 0.999 0.374 0.124
3 Ce 0.876 0.874 0.250
4 Ce 0.750 0.626 0.625
5 Ce 0.500 0.000 0.500
6 Ce 0.375 0.126 0.001
7 Te 0.128 0.747 0.024
8 Te 0.976 0.104 0.723
9 Te 0.780 0.250 0.377
10 Te 0.623 0.403 0.874
11 Te 0.470 0.597 0.220
12 Te 0.620 0.896 0.872
13 Te 0.277 0.253 0.380
14 Te 0.126 0.750 0.530

Values from the calculation:
**Formation energy (no corrections)**: -1.38 eV per atom
**Space group**: I-4 (82)

***

no.,energy (Ry/atom)
1,-0.36575
2,-0.18975
3,-0.17257
4,-0.24749
5,-0.44160
6,-0.30117
7,-0.34370
8,-0.54387
9,-0.34894
10,-0.25260
11,-0.37626
12,-0.24545
13,-0.38534
14,-0.41064
15,-0.45543
16,-0.33634
17,-0.29029
18,-0.41781
19,-0.59361
20,-0.21578
21,-0.07064
22,-0.50952
23,-0.41368